Entry from Alexandria: a geometry-optimized SiOsCl2 structure (PBE-GGA).

## Properties
The crystal system is tetragonal. As for the total energy: -15.43 eV/cell. The value obtained for the calculated volume is 67 Å³/f.u. Its energy above the most stable polymorph in this dataset is 1426 meV/atom. The space group is P4/mmm (123).

a = 3.873 Å, b = 4.146 Å, c = 4.146 Å
α = 90.00°, β = 90.00°, γ = 90.00°
Atoms (fractional coordinates):
Si1 0.500 0.000 0.500
Cl1 0.000 0.000 0.000
Cl2 0.000 0.500 0.500
Os1 0.500 0.500 0.000